one | Computed, not measured: a relaxed structure of CuI3Br at the GGA-PBE level of DFT.

Geometry as CIF:
```
data_CuI3Br
_chemical_formula_sum 'Cu2 I6 Br2'
_cell_length_a 8.4829
_cell_length_b 3.6796
_cell_length_c 12.8082
_cell_angle_alpha 90.00
_cell_angle_beta 102.07
_cell_angle_gamma 90.00
_space_group_name_H-M_alt 'P 1 21/m 1'
_space_group_IT_number 11
_space_group_name_Hall '-P 2yb'
loop_
_atom_site_label
_atom_site_fract_x
_atom_site_fract_y
_atom_site_fract_z
Cu1 0.1716 0.2500 0.2624
I1 0.0454 0.2500 0.8094
I2 0.2391 0.2500 0.4692
I3 0.3414 0.7500 0.1892
Br1 0.3566 0.7500 0.8236
```

two | Computed, not measured: a relaxed structure of CuI3Br at the GGA-PBE level of DFT.

Geometry as CIF:
```
data_CuI3Br
_chemical_formula_sum 'Cu1 I3 Br1'
_cell_length_a 5.9050
_cell_length_b 5.9050
_cell_length_c 5.9050
_cell_angle_alpha 90.00
_cell_angle_beta 90.00
_cell_angle_gamma 90.00
_space_group_name_H-M_alt 'P m -3 m'
_space_group_IT_number 221
_space_group_name_Hall '-P 4 2 3'
loop_
_atom_site_label
_atom_site_fract_x
_atom_site_fract_y
_atom_site_fract_z
Cu1 0.0000 0.0000 0.0000
I1 0.0000 0.5000 0.5000
Br1 0.5000 0.5000 0.5000
```

three | Computed, not measured: a relaxed structure of CuI3Br at the GGA-PBE level of DFT.

Geometry as CIF:
```
data_CuI3Br
_chemical_formula_sum 'Cu1 I3 Br1'
_cell_length_a 5.3938
_cell_length_b 5.3938
_cell_length_c 5.3938
_cell_angle_alpha 90.00
_cell_angle_beta 90.00
_cell_angle_gamma 90.00
_space_group_name_H-M_alt 'P m -3 m'
_space_group_IT_number 221
_space_group_name_Hall '-P 4 2 3'
loop_
_atom_site_label
_atom_site_fract_x
_atom_site_fract_y
_atom_site_fract_z
Cu1 0.0000 0.0000 0.0000
I1 0.0000 0.0000 0.5000
Br1 0.5000 0.5000 0.5000
```

Least stable of them? two.

one | Computed, not measured: a relaxed structure of CuIBrN2 at the GGA-PBE level of DFT.

Geometry as CIF:
```
data_CuIBrN2
_chemical_formula_sum 'Cu1 I1 Br1 N2'
_cell_length_a 3.9148
_cell_length_b 3.9148
_cell_length_c 7.5840
_cell_angle_alpha 90.00
_cell_angle_beta 90.00
_cell_angle_gamma 90.00
_space_group_name_H-M_alt 'P 4/m m m'
_space_group_IT_number 123
_space_group_name_Hall '-P 4 2'
loop_
_atom_site_label
_atom_site_fract_x
_atom_site_fract_y
_atom_site_fract_z
Cu1 0.0000 0.0000 0.0000
I1 0.0000 0.0000 0.5000
Br1 0.5000 0.5000 0.5000
N1 0.0000 0.5000 0.0000
```

two | Computed, not measured: a relaxed structure of CuIBrN2 at the GGA-PBE level of DFT.

Geometry as CIF:
```
data_CuIBrN2
_chemical_formula_sum 'Cu1 I1 Br1 N2'
_cell_length_a 3.8802
_cell_length_b 3.8802
_cell_length_c 7.9923
_cell_angle_alpha 90.00
_cell_angle_beta 90.00
_cell_angle_gamma 90.00
_space_group_name_H-M_alt 'P 4/m m m'
_space_group_IT_number 123
_space_group_name_Hall '-P 4 2'
loop_
_atom_site_label
_atom_site_fract_x
_atom_site_fract_y
_atom_site_fract_z
Cu1 0.0000 0.0000 0.0000
I1 0.5000 0.5000 0.0000
Br1 0.5000 0.5000 0.5000
N1 0.0000 0.5000 0.5000
```

Least stable of them? two.

one | Computed, not measured: a relaxed structure of CuI2BrO at the GGA-PBE level of DFT.

Geometry as CIF:
```
data_CuI2BrO
_chemical_formula_sum 'Cu1 I2 Br1 O1'
_cell_length_a 6.1293
_cell_length_b 6.1293
_cell_length_c 3.4619
_cell_angle_alpha 90.00
_cell_angle_beta 90.00
_cell_angle_gamma 90.00
_space_group_name_H-M_alt 'P 4/m m m'
_space_group_IT_number 123
_space_group_name_Hall '-P 4 2'
loop_
_atom_site_label
_atom_site_fract_x
_atom_site_fract_y
_atom_site_fract_z
Cu1 0.0000 0.0000 0.0000
I1 0.0000 0.5000 0.0000
Br1 0.5000 0.5000 0.5000
O1 0.0000 0.0000 0.5000
```

two | Computed, not measured: a relaxed structure of CuI2BrO at the GGA-PBE level of DFT.

Geometry as CIF:
```
data_CuI2BrO
_chemical_formula_sum 'Cu1 I2 Br1 O1'
_cell_length_a 5.8139
_cell_length_b 5.8139
_cell_length_c 3.9787
_cell_angle_alpha 90.00
_cell_angle_beta 90.00
_cell_angle_gamma 90.00
_space_group_name_H-M_alt 'P 4/m m m'
_space_group_IT_number 123
_space_group_name_Hall '-P 4 2'
loop_
_atom_site_label
_atom_site_fract_x
_atom_site_fract_y
_atom_site_fract_z
Cu1 0.0000 0.0000 0.0000
I1 0.0000 0.5000 0.5000
Br1 0.5000 0.5000 0.5000
O1 0.5000 0.5000 0.0000
```

Least stable of them? two.

one | Computed, not measured: a relaxed structure of CuIBrO2 at the GGA-PBE level of DFT.

Geometry as CIF:
```
data_CuIBrO2
_chemical_formula_sum 'Cu1 I1 Br1 O2'
_cell_length_a 3.8451
_cell_length_b 3.8451
_cell_length_c 7.9497
_cell_angle_alpha 90.00
_cell_angle_beta 90.00
_cell_angle_gamma 90.00
_space_group_name_H-M_alt 'P 4/m m m'
_space_group_IT_number 123
_space_group_name_Hall '-P 4 2'
loop_
_atom_site_label
_atom_site_fract_x
_atom_site_fract_y
_atom_site_fract_z
Cu1 0.0000 0.0000 0.0000
I1 0.5000 0.5000 0.0000
Br1 0.5000 0.5000 0.5000
O1 0.0000 0.5000 0.5000
```

two | Computed, not measured: a relaxed structure of CuIBrO2 at the GGA-PBE level of DFT.

Geometry as CIF:
```
data_CuIBrO2
_chemical_formula_sum 'Cu1 I1 Br1 O2'
_cell_length_a 3.9564
_cell_length_b 3.9564
_cell_length_c 6.9011
_cell_angle_alpha 90.00
_cell_angle_beta 90.00
_cell_angle_gamma 90.00
_space_group_name_H-M_alt 'P 4/m m m'
_space_group_IT_number 123
_space_group_name_Hall '-P 4 2'
loop_
_atom_site_label
_atom_site_fract_x
_atom_site_fract_y
_atom_site_fract_z
Cu1 0.0000 0.0000 0.0000
I1 0.0000 0.0000 0.5000
Br1 0.5000 0.5000 0.5000
O1 0.0000 0.5000 0.0000
```

Least stable of them? one.

one | Computed, not measured: a relaxed structure of CuSb2IBr at the GGA-PBE level of DFT.

Geometry as CIF:
```
data_CuSb2IBr
_chemical_formula_sum 'Cu1 Sb2 I1 Br1'
_cell_length_a 5.2020
_cell_length_b 5.2020
_cell_length_c 5.3291
_cell_angle_alpha 90.00
_cell_angle_beta 90.00
_cell_angle_gamma 90.00
_space_group_name_H-M_alt 'P 4/m m m'
_space_group_IT_number 123
_space_group_name_Hall '-P 4 2'
loop_
_atom_site_label
_atom_site_fract_x
_atom_site_fract_y
_atom_site_fract_z
Cu1 0.0000 0.0000 0.0000
Sb1 0.0000 0.5000 0.0000
I1 0.0000 0.0000 0.5000
Br1 0.5000 0.5000 0.5000
```

two | Computed, not measured: a relaxed structure of CuSb2IBr at the GGA-PBE level of DFT.

Geometry as CIF:
```
data_CuSb2IBr
_chemical_formula_sum 'Cu1 Sb2 I1 Br1'
_cell_length_a 5.6335
_cell_length_b 5.6335
_cell_length_c 5.7087
_cell_angle_alpha 90.00
_cell_angle_beta 90.00
_cell_angle_gamma 90.00
_space_group_name_H-M_alt 'P 4/m m m'
_space_group_IT_number 123
_space_group_name_Hall '-P 4 2'
loop_
_atom_site_label
_atom_site_fract_x
_atom_site_fract_y
_atom_site_fract_z
Cu1 0.0000 0.0000 0.0000
Sb1 0.0000 0.5000 0.5000
I1 0.5000 0.5000 0.0000
Br1 0.5000 0.5000 0.5000
```

Least stable of them? two.

one | Computed, not measured: a relaxed structure of CuTe2IBr at the GGA-PBE level of DFT.

Geometry as CIF:
```
data_CuTe2IBr
_chemical_formula_sum 'Cu1 Te2 I1 Br1'
_cell_length_a 5.6110
_cell_length_b 5.6110
_cell_length_c 5.8231
_cell_angle_alpha 90.00
_cell_angle_beta 90.00
_cell_angle_gamma 90.00
_space_group_name_H-M_alt 'P 4/m m m'
_space_group_IT_number 123
_space_group_name_Hall '-P 4 2'
loop_
_atom_site_label
_atom_site_fract_x
_atom_site_fract_y
_atom_site_fract_z
Cu1 0.0000 0.0000 0.0000
Te1 0.0000 0.5000 0.5000
I1 0.5000 0.5000 0.0000
Br1 0.5000 0.5000 0.5000
```

two | Computed, not measured: a relaxed structure of CuTe2IBr at the GGA-PBE level of DFT.

Geometry as CIF:
```
data_CuTe2IBr
_chemical_formula_sum 'Cu1 Te2 I1 Br1'
_cell_length_a 5.2434
_cell_length_b 5.2434
_cell_length_c 5.2722
_cell_angle_alpha 90.00
_cell_angle_beta 90.00
_cell_angle_gamma 90.00
_space_group_name_H-M_alt 'P 4/m m m'
_space_group_IT_number 123
_space_group_name_Hall '-P 4 2'
loop_
_atom_site_label
_atom_site_fract_x
_atom_site_fract_y
_atom_site_fract_z
Cu1 0.0000 0.0000 0.0000
Te1 0.0000 0.5000 0.0000
I1 0.0000 0.0000 0.5000
Br1 0.5000 0.5000 0.5000
```

Least stable of them? one.